Computed, not measured: ReAgPb2 after structural relaxation at the PBE-GGA level of DFT.

Cell: 3.2869 3.2869 28.2921 Å, 90.00 90.00 120.00°
Space group R-3m (No. 166, hexagonal axes)
Inequivalent atoms, fractional coordinates:
Re 0.0000 0.0000 0.0000 (multiplicity 3)
Ag 0.0000 0.0000 0.5000 (multiplicity 3)
Pb 0.0000 0.0000 0.2568 (multiplicity 6)

For the total energy, the calculation gives -4.975 eV per atom. The value obtained for the density of states at the Fermi level is 0.584 states/eV/atom. The energy relative to the elements is 0.704 eV per atom. The energy above the lowest structure with this stoichiometry is 13.1 meV per atom.